(1)
Compound: PmThGeOs
Source: the Alexandria database
Functional: PBE
Structure: optimized geometry

Properties
**Space group**: Amm2 (38)
**ΔE_f**: -0.58 eV/atom
**Relative energy among the computed polymorphs**: 0.0000 eV per atom

a b c (Å): 4.1560 4.0262 6.1385
angles (deg): 90.00 109.79 90.00
With the nearest neighbours (Å) after each atom.
Fractional positions:
1 Pm 0.8559 0.5000 0.7117  4 Ge 3.01, 3 Os 3.14-3.36
2 Th 0.1307 0.0000 0.2614  4 Os 2.94, 2 Ge 3.12
3 Ge 0.4292 0.0000 0.8584  2 Os 2.69, 4 Pm 3.01
4 Os 0.5843 0.5000 0.1685  2 Ge 2.69, 4 Th 2.94

***

(2)
Compound: HfMgZrTc
Source: the Alexandria database
Functional: PBE
Structure: optimized geometry

Properties
**Space group**: F-43m (216)
**ΔE_f**: -0.14 eV/atom

a b c (Å): 4.7719 4.7719 4.7719
angles (deg): 60.00 60.00 60.00
With the nearest neighbours (Å) after each atom.
Fractional positions:
1 Mg 0.0000 0.0000 0.0000  4 Hf 2.92, 4 Zr 2.92
2 Hf 0.2500 0.2500 0.2500  4 Mg 2.92, 4 Tc 2.92
3 Tc 0.5000 0.5000 0.5000  4 Zr 2.92, 4 Hf 2.92
4 Zr 0.7500 0.7500 0.7500  4 Tc 2.92, 4 Mg 2.92

***

(3)
Compound: CeFe5Si3
Source: the Alexandria database
Functional: PBE
Structure: optimized geometry

Properties
**Space group**: Cmcm (63)
**Formation energy from raw total energies**: -0.426 eV per atom

a b c (Å): 3.7864 6.2836 11.2029
angles (deg): 90.00 90.00 107.54
With the nearest neighbours (Å) after each atom.
Fractional positions:
1 Ce 0.8272 0.6544 0.7500  6 Si 3.00-3.22, 4 Fe 3.31
2 Ce 0.1728 0.3456 0.2500  6 Si 3.00-3.22, 4 Fe 3.31
3 Fe 0.8104 0.6208 0.4427  4 Si 2.24-2.37, 1 Fe 2.36
4 Fe 0.1896 0.3792 0.9427  4 Si 2.24-2.37, 1 Fe 2.36
5 Fe 0.0000 0.0000 0.5000  6 Fe 2.36-2.55, 4 Si 2.46
6 Fe 0.0000 0.0000 0.0000  6 Fe 2.36-2.55, 4 Si 2.46
7 Fe 0.4507 0.9015 0.1434  4 Si 2.32-2.35, 3 Fe 2.39-2.55
8 Fe 0.5493 0.0985 0.8566  4 Si 2.32-2.35, 3 Fe 2.39-2.55
9 Fe 0.5493 0.0985 0.6434  4 Si 2.32-2.35, 3 Fe 2.39-2.55
10 Fe 0.8104 0.6208 0.0573  4 Si 2.24-2.37, 1 Fe 2.36
11 Fe 0.1896 0.3792 0.5573  4 Si 2.24-2.37, 1 Fe 2.36
12 Fe 0.4507 0.9015 0.3566  4 Si 2.32-2.35, 3 Fe 2.39-2.55
13 Si 0.3768 0.7536 0.9512  7 Fe 2.24-2.46
14 Si 0.8899 0.7798 0.2500  6 Fe 2.35-2.36
15 Si 0.3768 0.7536 0.5488  7 Fe 2.24-2.46
16 Si 0.6232 0.2464 0.4512  7 Fe 2.24-2.46
17 Si 0.1101 0.2202 0.7500  6 Fe 2.35-2.36
18 Si 0.6232 0.2464 0.0488  7 Fe 2.24-2.46

***

(4)
Compound: Ta3GeMo
Source: the Alexandria database
Functional: PBE
Structure: optimized geometry

Properties
**Space group**: Pm-3m (221)
**ΔE_f**: 1.40 eV/atom
**Relative energy among the computed polymorphs**: 0.1441 eV per atom

a b c (Å): 4.8312 4.8312 4.8312
angles (deg): 90.00 90.00 90.00
With the nearest neighbours (Å) after each atom.
Fractional positions:
1 Mo 0.0000 0.0000 0.0000  6 Ta 2.42
2 Ge 0.5000 0.5000 0.5000  12 Ta 3.42
3 Ta 0.0000 0.5000 0.0000  2 Mo 2.42
4 Ta 0.0000 0.0000 0.5000  2 Mo 2.42
5 Ta 0.5000 0.0000 0.0000  2 Mo 2.42

***

(5)
Compound: EuHo2Sn
Source: the Alexandria database
Functional: PBE
Structure: optimized geometry

Properties
**Space group**: P4/mmm (123)
**ΔE_f**: -0.37 eV/atom
**Relative energy among the computed polymorphs**: 0.0000 eV per atom

a b c (Å): 4.7673 4.9107 4.9107
angles (deg): 90.00 90.00 90.00
With the nearest neighbours (Å) after each atom.
Fractional positions:
1 Eu 0.5000 0.5000 0.5000  8 Ho 3.42, 4 Sn 3.47
2 Ho 0.0000 0.0000 0.5000  4 Eu 3.42, 4 Sn 3.42, 4 Ho 3.47
3 Ho 0.0000 0.5000 0.0000  4 Eu 3.42, 4 Sn 3.42, 4 Ho 3.47
4 Sn 0.5000 0.0000 0.0000  8 Ho 3.42, 4 Eu 3.47

***

(6)
Compound: YTiGaRu2
Source: the Alexandria database
Functional: PBE
Structure: optimized geometry

Properties
**Space group**: P4/mmm (123)
**ΔE_f**: 1.69 eV/atom
**Relative energy among the computed polymorphs**: 1.2633 eV per atom

a b c (Å): 4.8492 4.8816 4.8492
angles (deg): 90.00 90.00 90.00
With the nearest neighbours (Å) after each atom.
Fractional positions:
1 Y 0.0000 0.0000 0.0000  4 Ru 2.42, 2 Ti 2.44
2 Ru 0.0000 0.0000 0.5000  2 Y 2.42
3 Ru 0.5000 0.0000 0.0000  2 Y 2.42
4 Ga 0.5000 0.5000 0.5000  4 Ti 3.43, 8 Ru 3.44
5 Ti 0.0000 0.5000 0.0000  2 Y 2.44

***

| no. | spin magnetization (μB/atom) | total energy (eV for the cell shown) | D(E_F) (states/eV/atom) |
| --- | --- | --- | --- |
| 1 | 0.00 | -30.325 | 0.688 |
| 2 | 0.00 | -31.012 | 0.984 |
| 3 | 0.79 | -136.709 | 1.180 |
| 4 | 0.00 | -44.011 | 0.531 |
| 5 | 1.87 | -24.897 | 1.212 |
| 6 | 0.23 | -27.484 | 1.099 |